--- one ---
Computed, not measured: a relaxed Y2TlCr2 crystal at the PBE level of DFT.

## Properties
Calculated volume (Å³ per atom): 25.3
Crystal system: tetragonal
Spin magnetization (μB per formula unit): 7.79

a = 8.4779 Å, b = 8.4779 Å, c = 3.5252 Å
α = 90.00°, β = 90.00°, γ = 90.00°
Fractional coordinates of all 10 atoms:
Y: 0.1567 0.3433 0.0000
Y: 0.3433 0.8433 0.0000
Y: 0.6567 0.1567 0.0000
Y: 0.8433 0.6567 0.0000
Tl: 0.0000 0.0000 0.0000
Tl: 0.5000 0.5000 0.0000
Cr: 0.1341 0.6341 0.5000
Cr: 0.3659 0.1341 0.5000
Cr: 0.6341 0.8659 0.5000
Cr: 0.8659 0.3659 0.5000

=====

--- two ---
Computed, not measured: a relaxed Y2TlCr2 crystal at the PBE level of DFT.

## Properties
Calculated volume (Å³ per atom): 22.1
Crystal system: tetragonal
Spin magnetization (μB per formula unit): 0.00

a = 10.0712 Å, b = 10.0712 Å, c = 10.0712 Å
α = 160.79°, β = 160.79°, γ = 27.30°
Fractional coordinates of all 5 atoms:
Y: 0.1235 0.1235 0.0000
Y: 0.8765 0.8765 0.0000
Tl: 0.5000 0.5000 0.0000
Cr: 0.2500 0.7500 0.5000
Cr: 0.7500 0.2500 0.5000

=====

Most stable: two. Least stable: one.

=====

--- one ---
Computed, not measured: a relaxed ZrTlCr2 crystal at the PBE level of DFT.

## Properties
Calculated volume (Å³ per atom): 17.7
Crystal system: tetragonal
Spin magnetization (μB per formula unit): 0.99

a = 3.0739 Å, b = 3.0739 Å, c = 7.5029 Å
α = 90.00°, β = 90.00°, γ = 90.00°
Fractional coordinates of all 4 atoms:
Zr: 0.0000 0.0000 0.0000
Tl: 0.5000 0.5000 0.6780
Cr: 0.0000 0.0000 0.4075
Cr: 0.5000 0.5000 0.2539

=====

--- two ---
Computed, not measured: a relaxed ZrTlCr2 crystal at the PBE level of DFT.

## Properties
Calculated volume (Å³ per atom): 19.0
Crystal system: monoclinic
Spin magnetization (μB per formula unit): 5.72

a = 4.9733 Å, b = 4.9733 Å, c = 5.2275 Å
α = 103.16°, β = 103.16°, γ = 37.24°
Fractional coordinates of all 4 atoms:
Zr: 0.0000 0.0000 0.0000
Tl: 0.5000 0.5000 0.5000
Cr: 0.2517 0.2517 0.7555
Cr: 0.7483 0.7483 0.2445

=====

--- three ---
Computed, not measured: a relaxed ZrTlCr2 crystal at the PBE level of DFT.

## Properties
Calculated volume (Å³ per atom): 17.7
Crystal system: cubic
Spin magnetization (μB per formula unit): 4.89

a = 4.6456 Å, b = 4.6456 Å, c = 4.6456 Å
α = 60.00°, β = 60.00°, γ = 60.00°
Fractional coordinates of all 4 atoms:
Zr: 0.0000 0.0000 0.0000
Tl: 0.5000 0.5000 0.5000
Cr: 0.2500 0.2500 0.2500
Cr: 0.7500 0.7500 0.7500

=====

Most stable: one. Least stable: two.